A crystal of IrRu relaxed with PBEsol, computed with meta-GGA SCAN.

Structure (POSCAR):
```
IrRu
1.0
-2.632 0.462 0.418
0.212 -2.427 4.019
2.183 4.584 -0.075
Ru Ir
2 2
direct
0.626 0.792 0.251
0.374 0.208 0.749
0.124 0.292 0.248
0.876 0.708 0.752
```

Output
Offset from the most stable computed form, eV/f.u.: 0.03
Space-group type: C2/m, No. 12
ΔH_f (0 K), eV/f.u.: -0.117
Uncorrected energy, eV/f.u.: -106.04